No. 1
Entry from the Alexandria database: a relaxed structure of SrSeCl2 (PBE).

Output
The calculation puts the total magnetization at 0.00 μB/cell. As for the calculated density: 4.02 g/cm3. For the offset from the most stable computed form, the calculation gives 339 meV per atom. The space-group type is P4/mmm, No. 123. The calculation puts the calculated total energy at -3.36 eV/atom.

POSCAR file:
```
SrSeCl2
1.0
4.759 0.000 0.000
0.000 4.759 0.000
0.000 0.000 4.330
Sr Se Cl
1 1 2
Direct
0.000 0.500 0.500
0.500 0.000 0.500
0.000 0.000 0.000
0.500 0.500 0.000
```

No. 2
Entry from the Alexandria database: a relaxed structure of Tb8P3Se4N (PBE).

Output
The calculation puts the total magnetization at 0.00 μB/cell. As for the calculated density: 7.73 g/cm3. The space-group type is R-3m, No. 166. The calculation puts the calculated total energy at -6.45 eV/atom.

POSCAR file:
```
Tb8P3Se4N
1.0
7.928 0.000 0.000
0.000 8.102 0.116
-3.964 -3.960 5.609
Tb P Se N
8 3 4 1
Direct
0.229 0.716 0.987
0.229 0.716 0.458
0.257 0.271 0.514
0.758 0.716 0.987
0.242 0.284 0.013
0.743 0.729 0.486
0.771 0.284 0.542
0.771 0.284 0.013
0.500 0.500 0.000
0.500 0.500 0.500
0.000 0.500 0.500
0.500 0.000 0.000
0.500 0.000 0.500
0.000 0.000 0.000
0.000 0.000 0.500
0.000 0.500 0.000
```

No. 3
Entry from the Alexandria database: a relaxed structure of K2NaNpTe4 (PBE).

Output
The calculation puts the total magnetization at 1.98 μB/cell. As for the calculated density: 4.74 g/cm3. The space-group type is P2/m, No. 10. The calculation puts the calculated total energy at -4.45 eV/atom.

POSCAR file:
```
K2NaNpTe4
1.0
-0.004 1.262 4.417
-8.299 1.705 -0.495
-4.015 -6.671 1.901
K Na Np Te
2 1 1 4
Direct
0.000 0.000 0.000
0.500 0.000 0.500
0.500 0.500 0.000
0.000 0.500 0.500
0.000 0.705 0.737
0.000 0.295 0.263
0.500 0.704 0.284
0.500 0.296 0.716
```

No. 4
Entry from the Alexandria database: a relaxed structure of TlGeTe2O8 (PBE).

Output
The calculation puts the total magnetization at 0.00 μB/cell. As for the calculated density: 5.05 g/cm3. The space-group type is C2/m, No. 12. The calculation puts the calculated total energy at -5.27 eV/atom.

POSCAR file:
```
TlGeTe2O8
1.0
5.591 0.000 0.000
2.796 4.434 0.116
2.796 1.644 8.801
Tl Ge Te O
1 1 2 8
Direct
0.500 0.500 0.500
0.000 0.000 0.000
0.300 0.220 0.181
0.700 0.780 0.819
0.821 0.739 0.619
0.789 0.435 0.988
0.179 0.261 0.381
0.211 0.565 0.012
0.704 0.955 0.160
0.296 0.045 0.840
0.181 0.955 0.160
0.819 0.045 0.840
```

No. 5
Entry from the Alexandria database: a relaxed structure of GaOsCl2 (PBE).

Output
The calculation puts the total magnetization at 0.00 μB/cell. As for the calculated density: 5.29 g/cm3. For the offset from the most stable computed form, the calculation gives 264 meV per atom. The space-group type is I-42d, No. 122. The calculation puts the calculated total energy at -3.81 eV/atom.

POSCAR file:
```
GaOsCl2
1.0
5.614 0.000 0.000
0.000 5.614 0.000
2.807 2.807 6.595
Os Ga Cl
2 2 4
Direct
0.000 0.000 0.000
0.750 0.250 0.500
0.500 0.500 0.000
0.250 0.750 0.500
0.723 0.125 0.250
0.027 0.625 0.250
0.375 0.277 0.750
0.875 0.973 0.750
```

No. 6
Entry from the Alexandria database: a relaxed structure of MgCoI2N (PBE).

Output
The calculation puts the total magnetization at 4.20 μB/cell. As for the calculated density: 4.41 g/cm3. For the offset from the most stable computed form, the calculation gives 610 meV per atom. The space-group type is P4/mmm, No. 123. The calculation puts the calculated total energy at -3.20 eV/atom.

POSCAR file:
```
MgCoI2N
1.0
5.735 0.000 0.000
0.000 5.735 0.000
0.000 0.000 4.015
I Mg Co N
2 1 1 1
Direct
0.000 0.500 0.000
0.500 0.000 0.000
0.000 0.000 0.000
0.500 0.500 0.500
0.000 0.000 0.500
```

No. 7
Entry from the Alexandria database: a relaxed structure of K3Na3ScI8 (PBE).

Output
The calculation puts the total magnetization at 1.00 μB/cell. As for the calculated density: 3.31 g/cm3. The space-group type is R-3m, No. 166. The calculation puts the calculated total energy at -3.02 eV/atom.

POSCAR file:
```
K3Na3ScI8
1.0
-0.740 -8.820 -3.246
7.410 2.471 5.287
-8.762 -0.828 4.245
K Na Sc I
3 3 1 8
Direct
0.000 0.000 0.000
0.000 0.500 0.000
0.500 0.500 0.000
0.500 0.000 0.500
0.500 0.500 0.500
0.000 0.500 0.500
0.000 0.000 0.500
0.258 0.517 0.275
0.742 0.483 0.725
0.776 0.551 0.292
0.224 0.449 0.708
0.775 0.016 0.292
0.225 0.984 0.708
0.241 0.016 0.292
0.759 0.984 0.708
```

No. 8
Entry from the Alexandria database: a relaxed structure of KP2PbCl (PBE).

Output
The calculation puts the total magnetization at 4.01 μB/cell. As for the calculated density: 2.72 g/cm3. For the offset from the most stable computed form, the calculation gives 754 meV per atom. The space-group type is P4/mmm, No. 123. The calculation puts the calculated total energy at -2.58 eV/atom.

POSCAR file:
```
KP2PbCl
1.0
6.132 0.000 0.000
0.000 6.132 0.000
0.000 0.000 5.583
Pb P K Cl
1 2 1 1
Direct
0.500 0.500 0.500
0.000 0.500 0.000
0.500 0.000 0.000
0.000 0.000 0.000
0.000 0.000 0.500
```

No. 9
Entry from the Alexandria database: a relaxed structure of AcCdAsSe (PBE).

Output
The calculation puts the total magnetization at 0.00 μB/cell. As for the calculated density: 7.24 g/cm3. The space-group type is P4/nmm, No. 129. The calculation puts the calculated total energy at -4.25 eV/atom.

POSCAR file:
```
AcCdAsSe
1.0
4.811 0.000 0.000
0.000 4.811 0.000
0.000 0.000 9.776
Ac Cd As Se
2 2 2 2
Direct
0.500 0.000 0.682
0.000 0.500 0.318
0.500 0.500 0.000
0.000 0.000 0.000
0.000 0.500 0.836
0.500 0.000 0.164
0.000 0.000 0.500
0.500 0.500 0.500
```

No. 10
Entry from the Alexandria database: a relaxed structure of PmIn8Ir4 (PBE).

Output
The calculation puts the total magnetization at 0.00 μB/cell. As for the calculated density: 11.53 g/cm3. The space-group type is I4/mmm, No. 139. The calculation puts the calculated total energy at -4.97 eV/atom.

POSCAR file:
```
PmIn8Ir4
1.0
5.818 0.000 0.000
2.909 6.736 0.000
2.909 0.000 6.736
Pm In Ir
1 8 4
Direct
0.000 0.000 0.000
0.000 0.338 0.662
0.000 0.662 0.338
0.338 0.662 0.662
0.662 0.338 0.338
0.500 0.781 0.219
0.500 0.219 0.781
0.281 0.219 0.219
0.719 0.781 0.781
0.000 0.000 0.500
0.500 0.000 0.500
0.000 0.500 0.000
0.500 0.500 0.000
```

No. 11
Entry from the Alexandria database: a relaxed structure of LiAl2Mo (PBE).

Output
The calculation puts the total magnetization at 0.39 μB/cell. As for the calculated density: 4.43 g/cm3. For the offset from the most stable computed form, the calculation gives 58 meV per atom. The space-group type is P4/mmm, No. 123. The calculation puts the calculated total energy at -5.19 eV/atom.

POSCAR file:
```
LiAl2Mo
1.0
4.104 0.000 0.000
0.000 4.102 0.000
0.000 0.000 3.493
Al Li Mo
2 1 1
Direct
0.000 0.000 0.000
0.500 0.500 0.000
0.500 0.000 0.500
0.000 0.500 0.500
```

No. 12
Entry from the Alexandria database: a relaxed structure of K3SmDy2S6 (PBE).

Output
The calculation puts the total magnetization at 0.00 μB/cell. As for the calculated density: 4.08 g/cm3. The space-group type is C2/m, No. 12. The calculation puts the calculated total energy at -5.38 eV/atom.

POSCAR file:
```
K3SmDy2S6
1.0
-5.190 2.101 -4.318
1.038 -6.892 1.188
-3.262 1.885 6.767
K Sm Dy S
3 1 2 6
Direct
0.166 0.834 0.500
0.834 0.166 0.500
0.500 0.500 0.500
0.000 0.000 0.000
0.333 0.667 0.000
0.667 0.333 0.000
0.932 0.594 0.797
0.729 0.729 0.203
0.068 0.406 0.203
0.594 0.932 0.797
0.271 0.271 0.797
0.406 0.068 0.203
```

No. 13
Entry from the Alexandria database: a relaxed structure of SmGeRh2 (PBE).

Output
The calculation puts the total magnetization at 0.00 μB/cell. As for the calculated density: 10.08 g/cm3. The space-group type is P4/mmm, No. 123. The calculation puts the calculated total energy at -6.63 eV/atom.

POSCAR file:
```
SmGeRh2
1.0
3.704 0.000 0.000
0.000 4.366 0.000
0.000 0.000 4.366
Ge Rh Sm
1 2 1
Direct
0.500 0.000 0.000
0.000 0.000 0.500
0.000 0.500 0.000
0.500 0.500 0.500
```

No. 14
Entry from the Alexandria database: a relaxed structure of ZrAlNi (PBE).

Output
The calculation puts the total magnetization at 0.00 μB/cell. As for the calculated density: 5.94 g/cm3. The space-group type is P-6m2, No. 187. The calculation puts the calculated total energy at -6.17 eV/atom.

POSCAR file:
```
ZrAlNi
1.0
-4.417 -0.644 0.902
2.351 -3.182 -2.256
0.663 -1.202 2.387
Zr Al Ni
1 1 1
Direct
0.667 0.333 0.000
0.333 0.667 0.500
0.000 0.000 0.000
```

No. 15
Entry from the Alexandria database: a relaxed structure of LiNd3Sc3Se8 (PBE).

Output
The calculation puts the total magnetization at 0.00 μB/cell. As for the calculated density: 5.44 g/cm3. The space-group type is R-3m, No. 166. The calculation puts the calculated total energy at -5.91 eV/atom.

POSCAR file:
```
LiNd3Sc3Se8
1.0
-6.643 3.534 -2.724
-0.446 -5.270 6.006
3.334 7.256 1.284
Li Nd Sc Se
1 3 3 8
Direct
0.000 0.000 0.500
0.000 0.000 0.000
0.000 0.500 0.000
0.500 0.500 0.000
0.500 0.000 0.500
0.500 0.500 0.500
0.000 0.500 0.500
0.259 0.518 0.276
0.741 0.482 0.724
0.753 0.505 0.271
0.247 0.495 0.729
0.753 0.018 0.271
0.247 0.982 0.729
0.266 0.018 0.271
0.734 0.982 0.729
```

No. 16
Entry from the Alexandria database: a relaxed structure of PrSmLu2 (PBE).

Output
The calculation puts the total magnetization at 0.00 μB/cell. As for the calculated density: 8.37 g/cm3. For the offset from the most stable computed form, the calculation gives 0 meV per atom. The space-group type is R-3m, No. 166. The calculation puts the calculated total energy at -4.61 eV/atom.

POSCAR file:
```
PrSmLu2
1.0
3.573 0.000 0.000
1.787 3.094 0.000
1.787 1.031 11.502
Pr Lu Sm
1 2 1
Direct
0.500 0.500 0.500
0.749 0.749 0.752
0.251 0.251 0.248
0.000 0.000 0.000
```

No. 17
Entry from the Alexandria database: a relaxed structure of Pr2HgH3 (PBE).

Output
The calculation puts the total magnetization at 0.00 μB/cell. As for the calculated density: 7.62 g/cm3. The space-group type is C2/m, No. 12. The calculation puts the calculated total energy at -3.80 eV/atom.

POSCAR file:
```
Pr2HgH3
1.0
3.980 0.000 0.000
-1.990 7.354 -3.840
0.000 -0.328 7.401
Pr Hg H
4 2 6
Direct
0.527 0.053 0.780
0.473 0.947 0.220
0.202 0.404 0.724
0.798 0.596 0.276
0.125 0.250 0.197
0.875 0.750 0.803
0.694 0.388 0.910
0.064 0.127 0.708
0.401 0.803 0.434
0.599 0.197 0.566
0.936 0.873 0.292
0.306 0.612 0.090
```

No. 18
Entry from the Alexandria database: a relaxed structure of LaTbZr (PBE).

Output
The calculation puts the total magnetization at 0.00 μB/cell. As for the calculated density: 7.25 g/cm3. For the offset from the most stable computed form, the calculation gives 57 meV per atom. The space-group type is P2_1/m, No. 11. The calculation puts the calculated total energy at -5.91 eV/atom.

POSCAR file:
```
LaTbZr
1.0
-3.072 -3.224 -1.388
2.264 -2.487 0.766
-5.200 0.692 9.900
La Tb Zr
2 2 2
Direct
0.347 0.042 0.505
0.847 0.948 0.318
0.347 0.356 0.133
0.847 0.634 0.691
0.847 0.777 0.976
0.347 0.213 0.847
```

No. 19
Entry from the Alexandria database: a relaxed structure of HfReMo2Os (PBE).

Output
The calculation puts the total magnetization at 0.00 μB/cell. As for the calculated density: 12.37 g/cm3. For the offset from the most stable computed form, the calculation gives 1156 meV per atom. The space-group type is P4/mmm, No. 123. The calculation puts the calculated total energy at -8.53 eV/atom.

POSCAR file:
```
HfReMo2Os
1.0
-0.885 4.222 1.720
-0.090 -1.770 4.298
4.558 0.785 0.418
Re Mo Hf Os
1 2 1 1
Direct
0.000 0.500 0.000
0.000 0.000 0.500
0.500 0.000 0.000
0.000 0.000 0.000
0.500 0.500 0.500
```

No. 20
Entry from the Alexandria database: a relaxed structure of Tl4Zn3F10 (PBE).

Output
The calculation puts the total magnetization at 0.00 μB/cell. As for the calculated density: 7.33 g/cm3. The space-group type is I4/mmm, No. 139. The calculation puts the calculated total energy at -3.96 eV/atom.

POSCAR file:
```
Tl4Zn3F10
1.0
4.158 0.000 -0.565
-0.077 4.158 -0.565
0.024 0.024 15.771
Tl Zn F
4 3 10
Direct
0.568 0.568 0.136
0.432 0.432 0.864
0.297 0.297 0.594
0.703 0.703 0.406
0.136 0.136 0.272
0.864 0.864 0.728
0.000 0.000 0.000
0.136 0.636 0.272
0.068 0.068 0.136
0.636 0.136 0.272
0.864 0.364 0.728
0.364 0.864 0.728
0.932 0.932 0.864
0.201 0.201 0.403
0.799 0.799 0.597
0.000 0.500 0.000
0.500 0.000 0.000
```